The following is a DFT calculation (PBE with a Hubbard U) of ScCo2O2 after structural relaxation.

Summary:
The total magnetization is 0.893 μB per atom. The total energy is -6.1472 eV per atom.

a b c (Å): 3.7992 3.7992 7.7495
angles (deg): 90.00 90.00 90.00
Space group I4/mmm (No. 139)
Unique sites:
Sc 0.0000 0.0000 0.0000 (multiplicity 2)
Co 0.0000 0.0000 0.3572 (multiplicity 4)
O 0.0000 0.5000 0.2500 (multiplicity 4)